No. 1
First-principles (PBE) data for a geometry-optimized CrRu2Rh structure, as listed in the Alexandria database.

Cell: 4.2706 4.2706 4.2706 Å, 60.00 60.00 60.00°
Element x y z (fractional)
Ru: 0.2500 0.2500 0.2500
Ru: 0.7500 0.7500 0.7500
Rh: 0.5000 0.5000 0.5000
Cr: 0.0000 0.0000 0.0000

Computed properties:
For the uncorrected energy, the calculation gives -34.0 eV per formula unit. As for the formation energy: 0.383 eV per atom. Its space-group type is Fm-3m. Its crystal system is cubic. The calculation puts the mass density at 10.77 Mg/m³. The density of states at the Fermi level comes out at 7.618 states/eV per cell.

---

No. 2
First-principles (PBE) data for a geometry-optimized CrRuRh structure, as listed in the Alexandria database.

Cell: 2.6740 2.6740 6.4890 Å, 90.00 90.00 120.00°
Element x y z (fractional)
Ru: 0.6667 0.3333 0.6852
Rh: 0.3333 0.6667 0.3186
Cr: 0.0000 0.0000 0.9962

Computed properties:
For the uncorrected energy, the calculation gives -26.1 eV per formula unit. As for the formation energy: 0.034 eV per atom. Its space-group type is P3m1. Its crystal system is trigonal. The calculation puts the mass density at 10.58 Mg/m³. The density of states at the Fermi level comes out at 3.433 states/eV per cell. For the polymorph energy (0 for the lowest one), the calculation gives 0.005 eV/atom.